1.
Here is an optimized crystal structure of Gd2SbN from Alexandria. Energies are from PBE-GGA.

Properties
Offset from the most stable computed form, kcal/mol of atoms: 0.00
ΔE_f (raw), meV per atom: -1156.0

Cell lengths 7.7701, 7.7701, 7.7701 Å; angles 27.17, 27.17, 27.17 degrees
Positions (direct):
Gd1 0.2258 0.2258 0.2258
Gd2 0.7742 0.7742 0.7742
Sb1 0.0000 0.0000 0.0000
N1 0.5000 0.5000 0.5000

2.
Here is an optimized crystal structure of NdDy7Er2 from Alexandria. Energies are from PBE-GGA.

Properties
Energy of formation from the pure elements, eV per atom: 0.70
Offset from the most stable computed form, kcal/mol of atoms: 0.95

Cell lengths 9.1057, 9.1057, 5.6280 Å; angles 90.00, 90.00, 122.62 degrees
Positions (direct):
Nd1 0.0000 0.0000 0.0000
Dy1 0.0613 0.2927 0.5000
Dy2 0.2191 0.7809 0.0000
Dy3 0.2927 0.0613 0.5000
Dy4 0.5000 0.5000 0.5000
Dy5 0.7073 0.9387 0.5000
Dy6 0.7809 0.2191 0.0000
Dy7 0.9387 0.7073 0.5000
Er1 0.2964 0.7036 0.5000
Er2 0.7036 0.2964 0.5000

3.
Here is an optimized crystal structure of Dy12HoHg6 from Alexandria. Energies are from PBE-GGA.

Properties
Energy of formation from the pure elements, eV per atom: -0.17

Cell lengths 8.9800, 8.9800, 8.9800 Å; angles 110.61, 110.61, 110.61 degrees
Positions (direct):
Dy1 0.0295 0.2844 0.2055
Dy2 0.2055 0.0295 0.2844
Dy3 0.2386 0.5815 0.7024
Dy4 0.2844 0.2055 0.0295
Dy5 0.2976 0.7614 0.4185
Dy6 0.4185 0.2976 0.7614
Dy7 0.5815 0.7024 0.2386
Dy8 0.7024 0.2386 0.5815
Dy9 0.7156 0.7945 0.9705
Dy10 0.7614 0.4185 0.2976
Dy11 0.7945 0.9705 0.7156
Dy12 0.9705 0.7156 0.7945
Ho1 0.5000 0.5000 0.5000
Hg1 0.0418 0.8669 0.5501
Hg2 0.1331 0.4499 0.9582
Hg3 0.4499 0.9582 0.1331
Hg4 0.5501 0.0418 0.8669
Hg5 0.8669 0.5501 0.0418
Hg6 0.9582 0.1331 0.4499

4.
Here is an optimized crystal structure of SiBiAsBr2 from Alexandria. Energies are from PBE-GGA.

Properties
Offset from the most stable computed form, kcal/mol of atoms: 10.40
ΔE_f (raw), meV per atom: 693.2

Cell lengths 5.6132, 5.6132, 5.6950 Å; angles 90.00, 90.00, 90.00 degrees
Positions (direct):
Si1 0.0000 0.0000 0.0000
Bi1 0.5000 0.5000 0.5000
As1 0.5000 0.5000 0.0000
Br1 0.0000 0.5000 0.5000
Br2 0.5000 0.0000 0.5000

5.
Here is an optimized crystal structure of PmSm3Pt3 from Alexandria. Energies are from PBE-GGA.

Properties
Energy of formation from the pure elements, eV per atom: -0.94

Cell lengths 6.1514, 6.1514, 6.1514 Å; angles 109.60, 109.60, 109.60 degrees
Positions (direct):
Pm1 0.0000 0.0000 0.0000
Sm1 0.1217 0.5611 0.5611
Sm2 0.5611 0.1217 0.5611
Sm3 0.5611 0.5611 0.1217
Pt1 0.0631 0.0631 0.5618
Pt2 0.0631 0.5618 0.0631
Pt3 0.5618 0.0631 0.0631

6.
Here is an optimized crystal structure of TlHPbI2 from Alexandria. Energies are from PBE-GGA.

Properties
Total energy, eV for the cell shown: -9.96

Cell lengths 6.3687, 6.3687, 5.9863 Å; angles 90.00, 90.00, 90.00 degrees
Positions (direct):
Tl1 0.0000 0.0000 0.0000
H1 0.5000 0.5000 0.5000
Pb1 0.0000 0.0000 0.5000
I1 0.0000 0.5000 0.0000
I2 0.5000 0.0000 0.0000

7.
Here is an optimized crystal structure of NpPd3Cl9 from Alexandria. Energies are from PBE-GGA.

Properties
ΔE_f (raw), meV per atom: -787.7

Cell lengths 9.6548, 9.6548, 14.4558 Å; angles 121.76, 121.76, 43.27 degrees
Positions (direct):
Np1 0.0030 0.9970 0.5000
Np2 0.9970 0.0030 0.0000
Pd1 0.2189 0.2644 0.9932
Pd2 0.2644 0.2189 0.4932
Pd3 0.3340 0.6433 0.7380
Pd4 0.5073 0.9017 0.3364
Pd5 0.6433 0.3340 0.2380
Pd6 0.9017 0.5073 0.8364
Cl1 0.0523 0.2778 0.0742
Cl2 0.0840 0.7688 0.3130
Cl3 0.1317 0.5331 0.6365
Cl4 0.2395 0.8870 0.1934
Cl5 0.2630 0.2952 0.8639
Cl6 0.2778 0.0523 0.5742
Cl7 0.2952 0.2630 0.3639
Cl8 0.3236 0.6506 0.5752
Cl9 0.3246 0.6763 0.9094
Cl10 0.5331 0.1317 0.1365
Cl11 0.5472 0.7413 0.8414
Cl12 0.6506 0.3236 0.0752
Cl13 0.6763 0.3246 0.4094
Cl14 0.7413 0.5472 0.3414
Cl15 0.7688 0.0840 0.8130
Cl16 0.7818 0.9094 0.4775
Cl17 0.8870 0.2395 0.6934
Cl18 0.9094 0.7818 0.9775

8.
Here is an optimized crystal structure of Cs3Np2MnSe6 from Alexandria. Energies are from PBE-GGA.

Properties
ΔE_f (raw), meV per atom: -1067.5

Cell lengths 7.3313, 7.3313, 8.6698 Å; angles 98.10, 98.10, 119.99 degrees
Positions (direct):
Cs1 0.0000 0.0000 0.0000
Cs2 0.3339 0.6661 0.0000
Cs3 0.6661 0.3339 0.0000
Np1 0.1667 0.8333 0.5000
Np2 0.8333 0.1667 0.5000
Mn1 0.5000 0.5000 0.5000
Se1 0.1141 0.4400 0.3199
Se2 0.2341 0.2341 0.6798
Se3 0.4400 0.1141 0.3199
Se4 0.5600 0.8859 0.6801
Se5 0.7659 0.7659 0.3202
Se6 0.8859 0.5600 0.6801

9.
Here is an optimized crystal structure of CaAc2In3Te6 from Alexandria. Energies are from PBE-GGA.

Properties
ΔE_f (raw), meV per atom: -969.3

Cell lengths 10.6682, 10.6682, 9.5602 Å; angles 105.18, 105.18, 25.38 degrees
Positions (direct):
Ca1 0.0000 0.0000 0.0000
Ac1 0.3373 0.3373 0.6741
Ac2 0.6627 0.6627 0.3259
In1 0.0000 0.0000 0.5000
In2 0.3357 0.3357 0.1647
In3 0.6643 0.6643 0.8353
Te1 0.1615 0.1615 0.0814
Te2 0.1696 0.1696 0.5779
Te3 0.4994 0.4994 0.2357
Te4 0.5006 0.5006 0.7643
Te5 0.8304 0.8304 0.4221
Te6 0.8385 0.8385 0.9186

10.
Here is an optimized crystal structure of PmPr3Bi3 from Alexandria. Energies are from PBE-GGA.

Properties
Energy of formation from the pure elements, eV per atom: -0.60
Offset from the most stable computed form, kcal/mol of atoms: 5.42

Cell lengths 9.4831, 9.4831, 6.0550 Å; angles 90.00, 90.00, 120.00 degrees
Positions (direct):
Pm1 0.3333 0.6667 0.2500
Pm2 0.6667 0.3333 0.7500
Pr1 0.0112 0.2484 0.2500
Pr2 0.2372 0.9888 0.2500
Pr3 0.2484 0.2372 0.7500
Pr4 0.7516 0.7628 0.2500
Pr5 0.7628 0.0112 0.7500
Pr6 0.9888 0.7516 0.7500
Bi1 0.0599 0.4355 0.7500
Bi2 0.3756 0.9401 0.7500
Bi3 0.4355 0.3756 0.2500
Bi4 0.5645 0.6244 0.7500
Bi5 0.6244 0.0599 0.2500
Bi6 0.9401 0.5645 0.2500

11.
Here is an optimized crystal structure of Ba2SrBe from Alexandria. Energies are from PBE-GGA.

Properties
Energy of formation from the pure elements, eV per atom: 0.52

Cell lengths 6.0193, 6.0193, 6.0193 Å; angles 119.91, 119.91, 90.15 degrees
Positions (direct):
Ba1 0.0000 0.0000 0.0000
Ba2 0.7500 0.2500 0.5000
Sr1 0.5000 0.5000 0.0000
Be1 0.2500 0.7500 0.5000

12.
Here is an optimized crystal structure of Sr4MgHg from Alexandria. Energies are from PBE-GGA.

Properties
Energy of formation from the pure elements, eV per atom: 0.35
Offset from the most stable computed form, kcal/mol of atoms: 12.70

Cell lengths 7.4017, 7.4017, 7.4017 Å; angles 60.00, 60.00, 60.00 degrees
Positions (direct):
Sr1 0.1253 0.1253 0.1253
Sr2 0.1253 0.1253 0.6242
Sr3 0.1253 0.6242 0.1253
Sr4 0.6242 0.1253 0.1253
Mg1 0.5000 0.5000 0.5000
Hg1 0.7500 0.7500 0.7500

no.,M_tot (μB/f.u.)
1,14.1
2,0.0
3,0.0
4,0.3
5,0.0
6,0.9
7,4.0
8,12.0
9,0.0
10,0.4
11,0.0
12,0.0